VASP calculation (PBE with a Hubbard U) on an optimized crystal structure of VCr3Ag3O8.

Values from the calculation:
Total energy, eV per cell: -98.45
Crystal system: monoclinic
Density, g/cm3: 5.8

Lattice parameters (Å, degrees): 5.960 6.060 6.404 107.70 90.00 119.45
Atoms (fractional coordinates):
V: 0.000 0.000 0.500
Cr: 0.500 0.000 0.500
Cr: 0.500 0.500 0.500
Cr: 0.000 0.500 0.500
Ag: 0.000 0.000 0.000
Ag: 0.000 0.500 0.000
Ag: 0.500 0.500 0.000
O: 0.299 0.598 0.329
O: 0.701 0.402 0.671
O: 0.800 0.600 0.326
O: 0.200 0.400 0.674
O: 0.808 0.094 0.331
O: 0.192 0.906 0.669
O: 0.286 0.094 0.331
O: 0.714 0.906 0.669